Entry 1:
An optimized crystal structure of K4Nb6O17. Source: Alexandria, functional GGA-PBE.

Lattice parameters (Å, degrees): 33.7778 7.9484 6.5881 90.00 90.00 90.00
Space group Pnma (No. 62)
Unique sites:
K: 0.0182 0.2500 0.2281 x4
K: 0.0832 0.2500 0.6678 x4
K: 0.2173 0.2500 0.3305 x4
K: 0.2183 0.7500 0.3339 x4
Nb: 0.0486 0.7500 0.3070 x4
Nb: 0.0946 0.7500 0.8501 x4
Nb: 0.1251 0.0066 0.2269 x8
Nb: 0.1743 0.0022 0.7833 x8
O: 0.0035 0.2500 0.6350 x4
O: 0.0454 0.7500 0.0045 x4
O: 0.0677 0.5115 0.2989 x8
O: 0.0701 0.7500 0.5992 x4
O: 0.1081 0.5128 0.9037 x8
O: 0.1198 0.2500 0.2056 x4
O: 0.1196 0.7500 0.1907 x4
O: 0.1484 0.0037 0.4867 x8
O: 0.1570 0.7500 0.7735 x4
O: 0.1690 0.2500 0.7643 x4
O: 0.1787 0.5011 0.0810 x8
O: 0.2249 0.5251 0.7018 x8

Results
Magnetic moment   0.000 μB per formula unit
Uncorrected formation energy   -240.8 kJ/mol of atoms
Total energy   -865.94 eV/cell



Entry 2:
An optimized crystal structure of BeVAu. Source: Alexandria, functional GGA-PBE.

Lattice parameters (Å, degrees): 5.7091 3.0401 9.1678 90.00 90.00 90.00
Space group Pnma (No. 62)
Unique sites:
Be: 0.1320 0.2500 0.2307 x4
V: 0.1185 0.2500 0.9306 x4
Au: 0.1032 0.2500 0.6189 x4

Results
Magnetic moment   0.000 μB per formula unit
Formation energy from the elements   -69 meV/atom
Total energy   -65.31 eV/cell



Entry 3:
An optimized crystal structure of Cs3KSb6. Source: Alexandria, functional GGA-PBE.

Lattice parameters (Å, degrees): 14.0170 14.0170 15.1816 90.00 90.00 120.00
Space group R-3c (No. 167, hexagonal axes)
Unique sites:
Cs: 0.0000 0.4818 0.2500 x18
K: 0.0000 0.0000 0.0000 x6
Sb: 0.1043 0.2190 0.3144 x36

Results
Magnetic moment   0.000 μB per formula unit
Uncorrected formation energy   -21.9 kJ/mol of atoms
Total energy   -183.99 eV/cell



Entry 4:
An optimized crystal structure of SrDyNi2H8. Source: Alexandria, functional GGA-PBE.

Lattice parameters (Å, degrees): 4.8096 4.8096 18.6355 90.00 90.00 120.00
Space group R-3 (No. 148, hexagonal axes)
Unique sites:
Sr: 0.0000 0.0000 0.0000 x3
Dy: 0.0000 0.0000 0.5000 x3
Ni: 0.0000 0.0000 0.2295 x6
H: 0.0000 0.0000 0.3105 x6
H: 0.0255 0.4220 0.5586 x18

Results
Magnetic moment   0.000 μB per formula unit
Total energy   -140.88 eV/cell



Entry 5:
An optimized crystal structure of La2NbB. Source: Alexandria, functional GGA-PBE.

Lattice parameters (Å, degrees): 10.0201 10.0201 4.4043 90.00 90.00 90.00
Space group I-42d (No. 122)
Unique sites:
La: 0.0929 0.2500 0.1250 x8
Nb: 0.0000 0.0000 0.5000 x4
B: 0.0000 0.0000 0.0000 x4

Results
Magnetic moment   0.673 μB per formula unit
Formation energy from the elements   379 meV/atom
Total energy   -100.34 eV/cell



Entry 6:
An optimized crystal structure of TcRu4W. Source: Alexandria, functional GGA-PBE.

Lattice parameters (Å, degrees): 7.1091 7.1091 7.1091 90.00 90.00 90.00
Space group F-43m (No. 216)
Unique sites:
Tc: 0.0000 0.0000 0.0000 x4
Ru: 0.1253 0.1253 0.3747 x16
W: 0.2500 0.2500 0.7500 x4

Results
Magnetic moment   0.001 μB per formula unit
Formation energy from the elements   418 meV/atom
Total energy   -231.66 eV/cell



Entry 7:
An optimized crystal structure of LaHo2Tm9. Source: Alexandria, functional GGA-PBE.

Lattice parameters (Å, degrees): 4.9723 4.9723 14.9482 90.00 90.00 90.00
Space group P4/mmm (No. 123)
Unique sites:
La: 0.0000 0.0000 0.0000 x1
Ho: 0.0000 0.0000 0.3346 x2
Tm: 0.0000 0.5000 0.1711 x4
Tm: 0.0000 0.5000 0.5000 x2
Tm: 0.5000 0.5000 0.0000 x1
Tm: 0.5000 0.5000 0.3360 x2

Results
Magnetic moment   0.003 μB per formula unit
Formation energy from the elements   32 meV/atom
Total energy   -53.94 eV/cell



Entry 8:
An optimized crystal structure of Cu2Au5. Source: Alexandria, functional GGA-PBE.

Lattice parameters (Å, degrees): 6.7757 12.5791 5.5497 90.00 90.00 90.00
Space group Ibam (No. 72)
Unique sites:
Cu: 0.2237 0.1224 0.0000 x8
Au: 0.0000 0.2687 0.2500 x8
Au: 0.0000 0.5000 0.2500 x4
Au: 0.1627 0.0880 0.5000 x8

Results
Magnetic moment   0.000 μB per formula unit
Formation energy from the elements   25 meV/atom
Total energy   -97.61 eV/cell



Entry 9:
An optimized crystal structure of NaS2N. Source: Alexandria, functional GGA-PBE.

Lattice parameters (Å, degrees): 3.3214 3.3214 22.8085 90.00 90.00 120.00
Space group R-3m (No. 166, hexagonal axes)
Unique sites:
Na: 0.0000 0.0000 0.0000 x3
S: 0.0000 0.0000 0.1140 x6
N: 0.0000 0.0000 0.5000 x3

Results
Magnetic moment   0.000 μB per formula unit
Uncorrected formation energy   103.1 kJ/mol of atoms
Total energy   -40.87 eV/cell



Entry 10:
An optimized crystal structure of Li2TlTeS4. Source: Alexandria, functional GGA-PBE.

Lattice parameters (Å, degrees): 7.6989 7.7927 11.1704 90.00 90.00 90.00
Space group Imma (No. 74)
Unique sites:
Li: 0.0000 0.0000 0.0000 x4
Li: 0.2500 0.2500 0.2500 x4
Tl: 0.2500 0.2500 0.7500 x4
Te: 0.0000 0.0000 0.5000 x4
S: 0.0000 0.0200 0.2602 x8
S: 0.2456 0.2500 0.4861 x8

Results
Magnetic moment   0.000 μB per formula unit
Uncorrected formation energy   -43.1 kJ/mol of atoms
Total energy   -117.68 eV/cell



Entry 11:
An optimized crystal structure of LaMgCr2. Source: Alexandria, functional GGA-PBE.

Lattice parameters (Å, degrees): 9.5593 3.4938 5.9189 90.00 117.62 90.00
Space group C2/m (No. 12)
Unique sites:
La: 0.0000 0.0000 0.0000 x2
Mg: 0.0000 0.5000 0.5000 x2
Cr: 0.2472 0.0000 0.6115 x4

Results
Magnetic moment   0.000 μB per formula unit
Formation energy from the elements   600 meV/atom
Total energy   -46.73 eV/cell



Entry 12:
An optimized crystal structure of TiGaNi. Source: Alexandria, functional GGA-PBE.

Lattice parameters (Å, degrees): 7.3956 9.4356 10.9801 90.00 90.00 90.00
Space group Fddd (No. 70, origin choice 2)
Unique sites:
Ti: 0.0000 0.0000 0.0000 x16
Ga: 0.1250 0.2584 0.6250 x16
Ni: 0.1250 0.1250 0.4401 x16

Results
Magnetic moment   0.000 μB per formula unit
Formation energy from the elements   -85 meV/atom
Total energy   -271.33 eV/cell



Entry 13:
An optimized crystal structure of ScZn2Sn2. Source: Alexandria, functional GGA-PBE.

Lattice parameters (Å, degrees): 4.5005 4.5005 11.1275 90.00 90.00 90.00
Space group I4/mmm (No. 139)
Unique sites:
Sc: 0.0000 0.0000 0.0000 x2
Zn: 0.0000 0.0000 0.3960 x4
Sn: 0.0000 0.5000 0.2500 x4

Results
Magnetic moment   0.000 μB per formula unit
Formation energy from the elements   12 meV/atom
Total energy   -33.65 eV/cell



Entry 14:
An optimized crystal structure of H2IrRh. Source: Alexandria, functional GGA-PBE.

Lattice parameters (Å, degrees): 5.2670 5.2670 5.2670 90.00 90.00 90.00
Space group Fm-3m (No. 225)
Unique sites:
H: 0.2500 0.2500 0.2500 x8
Ir: 0.0000 0.0000 0.0000 x4
Rh: 0.0000 0.0000 0.5000 x4

Results
Magnetic moment   0.000 μB per formula unit
Total energy   -80.08 eV/cell



Entry 15:
An optimized crystal structure of NbCdFe2. Source: Alexandria, functional GGA-PBE.

Lattice parameters (Å, degrees): 6.9431 6.9431 5.5422 90.00 90.00 90.00
Space group I-42d (No. 122)
Unique sites:
Nb: 0.0000 0.0000 0.0000 x4
Cd: 0.0000 0.0000 0.5000 x4
Fe: 0.2257 0.2500 0.1250 x8

Results
Magnetic moment   2.927 μB per formula unit
Formation energy from the elements   731 meV/atom
Total energy   -99.95 eV/cell



Entry 16:
An optimized crystal structure of InRuS2. Source: Alexandria, functional GGA-PBE.

Lattice parameters (Å, degrees): 3.5420 3.5420 23.4038 90.00 90.00 120.00
Space group R-3m (No. 166, hexagonal axes)
Unique sites:
In: 0.0000 0.0000 0.0000 x3
Ru: 0.0000 0.0000 0.5000 x3
S: 0.0000 0.0000 0.1154 x6

Results
Magnetic moment   0.000 μB per formula unit
Uncorrected formation energy   -21.5 kJ/mol of atoms
Total energy   -63.48 eV/cell



Entry 17:
An optimized crystal structure of BaPaMnN3. Source: Alexandria, functional GGA-PBE.

Lattice parameters (Å, degrees): 7.7424 3.5823 7.9162 90.00 103.63 90.00
Space group P2_1/m (No. 11)
Unique sites:
Ba: 0.1811 0.2500 0.2111 x2
Pa: 0.3411 0.7500 0.8373 x2
Mn: 0.0719 0.2500 0.5952 x2
N: 0.1513 0.2500 0.8466 x2
N: 0.1513 0.7500 0.5504 x2
N: 0.4571 0.7500 0.1299 x2

Results
Magnetic moment   1.183 μB per formula unit
Uncorrected formation energy   -96.6 kJ/mol of atoms
Total energy   -103.14 eV/cell



Entry 18:
An optimized crystal structure of AcTh2In9. Source: Alexandria, functional GGA-PBE.

Lattice parameters (Å, degrees): 4.7951 4.7951 14.3829 90.00 90.00 90.00
Space group P4/mmm (No. 123)
Unique sites:
Ac: 0.0000 0.0000 0.0000 x1
Th: 0.0000 0.0000 0.3381 x2
In: 0.0000 0.5000 0.1737 x4
In: 0.0000 0.5000 0.5000 x2
In: 0.5000 0.5000 0.0000 x1
In: 0.5000 0.5000 0.3358 x2

Results
Magnetic moment   0.000 μB per formula unit
Formation energy from the elements   -365 meV/atom
Total energy   -47.98 eV/cell